Rb2HfTlSe4 after structural relaxation. Source: the Alexandria database, functional GGA-PBE.

For the density of states at the Fermi level, the calculation gives 4.8 states/eV/f.u. As for the formation energy from raw total energies: -0.99 eV/atom. The magnetic moment comes out at 0.0 μB per formula unit.

The structure belongs to space group Fddd (No. 70, origin choice 2); the cell edges are 7.066, 14.756 and 24.044 Å and the angles 90.00°, 90.00° and 90.00°. The inequivalent atoms are Rb at (0.125, 0.125, 0.308), Hf at (0.125, 0.125, 0.125), Tl at (0.125, 0.125, 0.625) and Se at (0.084, 0.273, 0.433).